MgCdB PBE relaxed; relative energy among the computed polymorphs = 5 meV per atom; formation energy from the elements = -67.5 meV per atom
1.0
3.159 0.000 0.000
-1.580 2.736 0.000
0.000 0.000 10.766
Mg Cd B
2 2 2
Direct
0.000 0.000 0.347 Mg
0.000 0.000 0.653 Mg
0.667 0.333 0.119 Cd
0.333 0.667 0.881 Cd
0.667 0.333 0.499 B
0.333 0.667 0.501 B

***

Mg2CdBN PBE relaxed; uncorrected formation energy = 0.88 eV/atom
1.0
-4.430 -0.491 -0.647
0.782 -2.689 -3.319
-0.025 -3.502 2.832
Cd N B Mg
1 1 1 2
Direct
0.000 0.500 0.000 Cd
0.500 0.500 0.500 N
0.000 0.000 0.000 B
0.000 0.000 0.500 Mg
0.500 0.000 0.000 Mg

***

MgNbCd2B PBE relaxed; formation energy from the elements = 847.6 meV per atom
1.0
-1.459 4.020 -1.461
0.467 -1.382 -4.271
-4.252 -1.532 0.031
B Mg Nb Cd
1 1 1 2
Direct
0.000 0.000 0.000 B
0.000 0.500 0.000 Mg
0.500 0.500 0.500 Nb
0.000 0.000 0.500 Cd
0.500 0.000 0.000 Cd

***

MgCd2B2O6 PBE relaxed; uncorrected formation energy = -1.96 eV/atom
1.0
5.185 0.000 0.000
-2.592 4.356 -0.165
0.000 -2.688 5.269
B O Mg Cd
2 6 1 2
Direct
0.050 0.100 0.266 B
0.950 0.900 0.734 B
0.771 0.541 0.618 O
0.183 0.907 0.213 O
0.229 0.459 0.382 O
0.277 0.093 0.787 O
0.723 0.907 0.213 O
0.817 0.093 0.787 O
0.500 0.000 0.500 Mg
0.702 0.404 0.176 Cd
0.298 0.596 0.824 Cd

***

Mg2Cd2BRh4 PBE relaxed; formation energy from the elements = -348.6 meV per atom
1.0
-3.201 0.137 4.810
4.417 -3.713 -0.320
3.447 4.481 -1.198
Mg B Rh Cd
2 1 4 2
Direct
0.000 0.714 0.714 Mg
0.000 0.286 0.286 Mg
0.000 0.000 0.000 B
0.000 0.246 0.754 Rh
0.000 0.754 0.246 Rh
0.508 0.754 0.754 Rh
0.492 0.246 0.246 Rh
0.500 0.750 0.250 Cd
0.500 0.250 0.750 Cd

***

Mg3Cd2BRh3 PBE relaxed; formation energy from the elements = -357.1 meV per atom
1.0
3.037 0.000 0.000
0.000 7.327 0.000
0.000 -3.663 6.345
Rh Mg B Cd
3 3 1 2
Direct
0.500 0.226 0.226 Rh
0.500 0.774 0.000 Rh
0.500 0.000 0.774 Rh
0.000 0.353 0.000 Mg
0.000 0.647 0.647 Mg
0.000 0.000 0.353 Mg
0.000 0.000 0.000 B
0.500 0.333 0.667 Cd
0.500 0.667 0.333 Cd

***

MgTiCd2B PBE relaxed; formation energy from the elements = 902.8 meV per atom
1.0
5.367 0.000 0.000
0.000 4.110 0.000
0.000 0.000 5.367
Cd B Ti Mg
2 1 1 1
Direct
0.000 0.000 0.500 Cd
0.500 0.000 0.000 Cd
0.000 0.500 0.000 B
0.000 0.000 0.000 Ti
0.500 0.500 0.500 Mg

***

MgTlCdB2 PBE relaxed; formation energy from the elements = 1685.8 meV per atom
1.0
-0.539 -3.902 2.132
5.671 -0.708 0.138
0.170 2.128 3.938
Tl Cd B Mg
1 1 2 1
Direct
0.000 0.000 0.000 Tl
0.500 0.500 0.500 Cd
0.500 0.000 0.000 B
0.000 0.000 0.500 B
0.000 0.500 0.000 Mg